Entry 1:
CsTl2Ir after structural relaxation, computed with PBE-GGA.

Lattice parameters (Å, degrees): 5.462 5.462 5.462 60.00 60.00 60.00
Fractional coordinates of all 4 atoms:
Cs1 0.000 0.000 0.000
Tl1 0.250 0.250 0.250
Tl2 0.750 0.750 0.750
Ir1 0.500 0.500 0.500

Properties
* SG: Fm-3m (225)
* formation energy: 702.2 meV/atom
* DOS at the Fermi energy: 1.79 states/eV/f.u.

Entry 2:
Tb2CoBi after structural relaxation, computed with PBE-GGA.

Lattice parameters (Å, degrees): 4.048 6.251 8.466 110.39 90.00 90.00
Fractional coordinates of all 8 atoms:
Tb1 0.750 0.259 0.459
Tb2 0.250 0.741 0.541
Tb3 0.750 0.660 0.884
Tb4 0.250 0.340 0.116
Co1 0.750 0.618 0.295
Co2 0.250 0.382 0.705
Bi1 0.750 0.124 0.794
Bi2 0.250 0.876 0.206

Properties
* SG: P2_1/m (11)
* formation energy: -454.3 meV/atom
* polymorph energy (0 for the lowest one): 0.0 meV per atom
* DOS at the Fermi energy: 2.03 states/eV/f.u.

Total magnetic moment / μB per formula unit: 0.00; 0.00